VASP calculation (PBE) on a relaxed La2TeIr crystal.

calculated total energy: -79.5 eV/cell
total moment: 0.00 Bohr magnetons per cell
raw formation energy: -4.7 eV per formula unit

Unit cell a=4.299 b=4.299 c=22.767 alpha=90.00 beta=90.00 gamma=120.00
Fractional coordinates of all 12 atoms:
La  0.000  0.000  0.236
La  0.000  0.000  0.764
La  0.333  0.667  0.430
La  0.333  0.667  0.903
La  0.667  0.333  0.097
La  0.667  0.333  0.570
Te  0.000  0.000  0.000
Te  0.333  0.667  0.667
Te  0.667  0.333  0.333
Ir  0.000  0.000  0.500
Ir  0.333  0.667  0.167
Ir  0.667  0.333  0.833


VASP calculation (PBE) on a relaxed LaTe2Ir crystal.

ΔE to the lowest computed polymorph: 37 meV per atom
calculated total energy: -23.1 eV/cell
total moment: 0.00 Bohr magnetons per cell
raw formation energy: -3.0 eV per formula unit

Unit cell a=4.365 b=4.034 c=7.202 alpha=90.00 beta=107.53 gamma=90.00
Fractional coordinates of all 4 atoms:
La  0.000  0.000  0.000
Te  0.389  0.500  0.776
Te  0.696  0.000  0.397
Ir  0.579  0.500  0.159


VASP calculation (PBE) on a relaxed LaTe2Ir crystal.

ΔE to the lowest computed polymorph: 33 meV per atom
calculated total energy: -46.2 eV/cell
total moment: 0.00 Bohr magnetons per cell
raw formation energy: -3.0 eV per formula unit

Unit cell a=13.798 b=3.948 c=5.045 alpha=90.00 beta=111.27 gamma=90.00
Fractional coordinates of all 8 atoms:
La  0.000  0.000  0.000
La  0.500  0.500  0.000
Te  0.148  0.000  0.646
Te  0.352  0.500  0.354
Te  0.648  0.500  0.646
Te  0.852  0.000  0.354
Ir  0.000  0.500  0.500
Ir  0.500  0.000  0.500


Among the records above, which one has the highest calculated total energy?
number 2